(1)
# Ba2CaRhBr

An optimized crystal structure of Ba2CaRhBr (GGA-PBE, Alexandria via LeMat-Bulk).

The structure in extended XYZ format:
```
5
Lattice="6.151 0.000 0.000 0.000 6.151 0.000 0.000 0.000 5.438" Properties=species:S:1:pos:R:3 pbc="T T T"
Ba 0.000 3.076 0.000
Ba 3.076 0.000 0.000
Ca 0.000 0.000 2.719
Rh 0.000 0.000 0.000
Br 3.076 3.076 2.719
```

Summary:
**Raw formation energy**: -590 meV/atom
**Theoretical density**: 4015 kg/m³
**Size of the total moment**: 0.00 μB/f.u.
**Total energy**: -3.564 eV per atom
**Density of states at the Fermi level**: 0.73 states/eV per atom

***

(2)
# Ba2CaS2Br2

An optimized crystal structure of Ba2CaS2Br2 (GGA-PBE, Alexandria via LeMat-Bulk).

The structure in extended XYZ format:
```
7
Lattice="-2.665 2.665 8.258 2.665 -2.665 8.258 2.665 2.665 -8.258" Properties=species:S:1:pos:R:3 pbc="T T T"
Ba 0.000 0.000 1.929
Ba 0.000 0.000 14.588
Ca 0.000 0.000 8.258
S 2.665 0.000 0.000
S 0.000 2.665 0.000
Br 0.000 0.000 5.210
Br 0.000 0.000 11.307
```

Summary:
**Raw formation energy**: -2072 meV/atom
**Theoretical density**: 3813 kg/m³
**Size of the total moment**: 0.00 μB/f.u.
**Total energy**: -4.564 eV per atom
**Density of states at the Fermi level**: 0.00 states/eV per atom